NaSn3B: optimized geometry, PBE-GGA.

a b c (Å): 5.389 5.389 5.389
angles (deg): 90.00 90.00 90.00
Atoms (fractional coordinates):
Na 0.000 0.000 0.000
B 0.500 0.500 0.500
Sn 0.000 0.500 0.000
Sn 0.000 0.000 0.500
Sn 0.500 0.000 0.000

Properties
VASP energy: -12.32 eV for the cell shown
SG: Pm-3m
polymorph energy (0 for the lowest one): 1071 meV per atom
energy of formation: 1.538 eV/atom
M_tot: 0.00 μB/f.u.

***

CaLa2CrPt: optimized geometry, PBE-GGA.

a b c (Å): 5.113 5.333 5.113
angles (deg): 90.00 90.00 90.00
Site moments in Bohr magnetons follow the coordinates.
Atoms (fractional coordinates):
Cr 0.000 0.000 0.000  0.95
Ca 0.000 0.500 0.000  0.03
Pt 0.500 0.500 0.500  -0.01
La 0.000 0.000 0.500  -0.04
La 0.500 0.000 0.000  0.04

Properties
VASP energy: -25.95 eV for the cell shown
SG: P4/mmm
energy of formation: 0.313 eV/atom
M_tot: 0.92 μB/f.u.

***

HgAsSe2I: optimized geometry, PBE-GGA.

a b c (Å): 5.204 5.204 5.500
angles (deg): 90.00 90.00 90.00
Atoms (fractional coordinates):
I 0.500 0.500 0.500
As 0.000 0.000 0.500
Hg 0.000 0.000 0.000
Se 0.000 0.500 0.000
Se 0.500 0.000 0.000

Properties
energy relative to the elements, uncorrected: 812 meV/atom
VASP energy: -9.41 eV for the cell shown
SG: P4/mmm
polymorph energy (0 for the lowest one): 969 meV per atom
M_tot: 0.00 μB/f.u.

***

Ta3Au2: optimized geometry, PBE-GGA.

a b c (Å): 6.027 8.565 9.615
angles (deg): 60.24 39.70 92.16
Atoms (fractional coordinates):
Ta 0.213 0.186 0.925
Ta 0.787 0.814 0.075
Ta 0.226 0.390 0.313
Ta 0.213 0.592 0.721
Ta 0.787 0.408 0.279
Ta 0.774 0.610 0.687
Au 0.761 0.998 0.498
Au 0.239 0.002 0.502
Au 0.216 0.788 0.125
Au 0.784 0.212 0.875

Properties
VASP energy: -83.90 eV for the cell shown
SG: P-1
energy of formation: 0.033 eV/atom
M_tot: 0.00 μB/f.u.

***

Ta3GaRh: optimized geometry, PBE-GGA.

a b c (Å): 4.659 4.659 4.659
angles (deg): 90.00 90.00 90.00
Atoms (fractional coordinates):
Rh 0.500 0.500 0.500
Ga 0.000 0.000 0.000
Ta 0.000 0.500 0.000
Ta 0.000 0.000 0.500
Ta 0.500 0.000 0.000

Properties
VASP energy: -39.57 eV for the cell shown
SG: Pm-3m
polymorph energy (0 for the lowest one): 225 meV per atom
energy of formation: 1.273 eV/atom
M_tot: 0.00 μB/f.u.

***

Pr3Nd: optimized geometry, PBE-GGA.

a b c (Å): 3.715 6.038 6.464
angles (deg): 90.00 90.00 90.00
Atoms (fractional coordinates):
Pr 0.000 0.500 0.330
Pr 0.500 0.000 0.503
Pr 0.500 0.500 0.831
Nd 0.000 0.000 0.003

Properties
VASP energy: -18.98 eV for the cell shown
SG: Pmm2
polymorph energy (0 for the lowest one): 21 meV per atom
energy of formation: 0.032 eV/atom
M_tot: 0.00 μB/f.u.

***

YUSb: optimized geometry, PBE-GGA.

a b c (Å): 3.954 4.693 8.603
angles (deg): 91.81 103.28 90.00
Site moments in Bohr magnetons follow the coordinates.
Atoms (fractional coordinates):
U 0.758 0.178 0.516  1.79
U 0.242 0.822 0.484  1.79
Y 0.575 0.755 0.150  0.00
Y 0.425 0.245 0.850  0.00
Sb 0.897 0.737 0.794  -0.01
Sb 0.103 0.263 0.206  -0.01

Properties
energy relative to the elements, uncorrected: -466 meV/atom
VASP energy: -46.55 eV for the cell shown
SG: C2/m
M_tot: 1.94 μB/f.u.

***

CeTiH2: optimized geometry, PBE-GGA.

a b c (Å): 3.067 3.067 6.019
angles (deg): 75.24 75.24 60.00
Atoms (fractional coordinates):
Ce 0.496 0.496 0.512
Ti 0.669 0.669 0.993
H 0.057 0.057 0.828
H 0.278 0.278 0.167

Properties
VASP energy: -21.45 eV for the cell shown
SG: R3m
polymorph energy (0 for the lowest one): 71 meV per atom
M_tot: 0.00 μB/f.u.